[1]
# Tl12Ga2Hg5, relaxed, DFT GGA-PBE
# raw total energy	-35.4	eV/f.u.
# size of the total moment	0.00	μB per atom
# volume	29.178	Å³ per atom
# calculated formation energy	0.03	eV/atom
data_Tl12Ga2Hg5
_chemical_formula_sum 'Tl12 Ga2 Hg5'
_space_group_name_H-M_alt 'P 1'
_space_group_IT_number 1
_cell_length_a 8.4289
_cell_length_b 8.3272
_cell_length_c 8.3272
_cell_angle_alpha 78.31
_cell_angle_beta 78.88
_cell_angle_gamma 78.88
loop_
_space_group_symop_operation_xyz
'x,y,z'
loop_
_atom_site_label
_atom_site_type_symbol
_atom_site_fract_x
_atom_site_fract_y
_atom_site_fract_z
Tl1 Tl 0.1134 0.8683 0.8683
Tl2 Tl 0.8094 0.0266 0.6267
Tl3 Tl 0.8094 0.6267 0.0266
Tl4 Tl 0.3765 0.1499 0.6382
Tl5 Tl 0.3765 0.6382 0.1499
Tl6 Tl 0.6990 0.4207 0.4207
Tl7 Tl 0.3010 0.5793 0.5793
Tl8 Tl 0.6235 0.8501 0.3618
Tl9 Tl 0.6235 0.3618 0.8501
Tl10 Tl 0.1906 0.9734 0.3733
Tl11 Tl 0.1906 0.3733 0.9734
Tl12 Tl 0.8866 0.1317 0.1317
Ga1 Ga 0.0000 0.7269 0.2731
Ga2 Ga 0.0000 0.2731 0.7269
Hg1 Hg 0.4856 0.2471 0.2471
Hg2 Hg 0.0868 0.3645 0.3645
Hg3 Hg 0.5000 0.0000 0.0000
Hg4 Hg 0.9132 0.6355 0.6355
Hg5 Hg 0.5144 0.7529 0.7529

=====

[2]
# RbNa2HSe, relaxed, DFT GGA-PBE
# raw total energy	-13.3	eV/f.u.
# size of the total moment	0.00	μB per atom
# volume	24.391	Å³ per atom
data_RbNa2HSe
_chemical_formula_sum 'Rb1 Na2 H1 Se1'
_space_group_name_H-M_alt 'P 1'
_space_group_IT_number 1
_cell_length_a 4.8336
_cell_length_b 4.8336
_cell_length_c 5.2198
_cell_angle_alpha 90.00
_cell_angle_beta 90.00
_cell_angle_gamma 90.00
loop_
_space_group_symop_operation_xyz
'x,y,z'
loop_
_atom_site_label
_atom_site_type_symbol
_atom_site_fract_x
_atom_site_fract_y
_atom_site_fract_z
Na1 Na 0.0000 0.5000 0.0000
Na2 Na 0.5000 0.0000 0.0000
Se1 Se 0.5000 0.5000 0.5000
Rb1 Rb 0.0000 0.0000 0.5000
H1 H 0.0000 0.0000 0.0000

=====

[3]
# AcMnI2, relaxed, DFT GGA-PBE
# raw total energy	-17.1	eV/f.u.
# size of the total moment	0.97	μB per atom
# volume	36.484	Å³ per atom
data_AcMnI2
_chemical_formula_sum 'Ac1 Mn1 I2'
_space_group_name_H-M_alt 'P 1'
_space_group_IT_number 1
_cell_length_a 4.0698
_cell_length_b 4.0698
_cell_length_c 10.4418
_cell_angle_alpha 78.76
_cell_angle_beta 78.76
_cell_angle_gamma 60.00
loop_
_space_group_symop_operation_xyz
'x,y,z'
loop_
_atom_site_label
_atom_site_type_symbol
_atom_site_fract_x
_atom_site_fract_y
_atom_site_fract_z
I1 I 0.1114 0.1114 0.6657
I2 I 0.8886 0.8886 0.3343
Ac1 Ac 0.0000 0.0000 0.0000
Mn1 Mn 0.5000 0.5000 0.5000

=====

[4]
# Ca2SmPaS6, relaxed, DFT GGA-PBE
# raw total energy	-61.9	eV/f.u.
# size of the total moment	0.00	μB per atom
# volume	26.640	Å³ per atom
data_Ca2SmPaS6
_chemical_formula_sum 'Ca2 Sm1 Pa1 S6'
_space_group_name_H-M_alt 'P 1'
_space_group_IT_number 1
_cell_length_a 7.0325
_cell_length_b 7.0324
_cell_length_c 7.4282
_cell_angle_alpha 61.74
_cell_angle_beta 61.74
_cell_angle_gamma 60.00
loop_
_space_group_symop_operation_xyz
'x,y,z'
loop_
_atom_site_label
_atom_site_type_symbol
_atom_site_fract_x
_atom_site_fract_y
_atom_site_fract_z
Ca1 Ca 0.5241 0.5240 0.4279
Ca2 Ca 0.0186 0.0187 0.9440
Sm1 Sm 0.8157 0.8157 0.5530
Pa1 Pa 0.3215 0.3215 0.0355
S1 S 0.5915 0.2034 0.2552
S2 S 0.2034 0.9499 0.2552
S3 S 0.9499 0.5915 0.2552
S4 S 0.4263 0.6971 0.7630
S5 S 0.6971 0.1136 0.7631
S6 S 0.1136 0.4263 0.7631